Record 1
Density functional theory data (PBE) for CePr4As5 after structural relaxation.

Summary:
**Total DFT energy (no corrections)**: -6.32 eV/atom
**Energy relative to the elements**: -1.49 eV/atom
**DOS at the Fermi energy**: 0.7326 states/eV per atom

```
CePr4As5
1.0
4.2940 0.0000 0.0000
0.0000 4.2940 0.0000
-2.1470 -2.1470 15.1511
Pr As Ce
4 5 1
direct
0.6005 0.6005 0.2010
0.3995 0.3995 0.7990
0.8000 0.8000 0.6001
0.2000 0.2000 0.3999
0.3002 0.3002 0.6004
0.9021 0.9021 0.8042
0.5000 0.5000 0.0000
0.0979 0.0979 0.1958
0.6998 0.6998 0.3996
0.0000 0.0000 0.0000
```


Record 2
Density functional theory data (PBE) for CePrAs after structural relaxation.

Summary:
**Total DFT energy (no corrections)**: -5.88 eV/atom
**Energy relative to the elements**: -0.76 eV/atom
**DOS at the Fermi energy**: 1.9829 states/eV per atom

```
CePrAs
1.0
6.7110 0.0000 0.0000
0.0000 4.0772 0.0000
0.0000 -2.0386 3.5310
Pr Ce As
1 1 1
direct
0.6008 0.6667 0.3333
0.0715 0.0000 0.0000
0.3277 0.3333 0.6667
```


Record 3
Density functional theory data (PBE) for Ce4PrAs6 after structural relaxation.

Summary:
**Total DFT energy (no corrections)**: -6.26 eV/atom
**Energy relative to the elements**: -1.13 eV/atom
**DOS at the Fermi energy**: 1.4194 states/eV per atom

```
Ce4PrAs6
1.0
8.2879 0.0494 -0.1195
0.1185 8.2872 -0.1195
-0.0498 -0.0494 8.2886
As Pr Ce
12 2 8
direct
0.1691 0.4148 0.4332
0.9148 0.6691 0.9332
0.3309 0.9332 0.9148
0.8309 0.5852 0.5668
0.9332 0.0852 0.6691
0.4332 0.8309 0.4148
0.6691 0.0668 0.0852
0.4148 0.5668 0.8309
0.5852 0.4332 0.1691
0.5668 0.1691 0.5852
0.0852 0.3309 0.0668
0.0668 0.9148 0.3309
0.5000 0.5000 0.5000
0.0000 0.0000 0.0000
0.1348 0.7500 0.6348
0.6348 0.8652 0.7500
0.7500 0.3652 0.8652
0.3652 0.1348 0.2500
0.7500 0.7500 0.2500
0.8652 0.2500 0.3652
0.2500 0.2500 0.7500
0.2500 0.6348 0.1348
```


Record 4
Density functional theory data (PBE) for CePrAs after structural relaxation.

Summary:
**Total DFT energy (no corrections)**: -6.08 eV/atom
**Energy relative to the elements**: -0.96 eV/atom
**DOS at the Fermi energy**: 1.9873 states/eV per atom

```
CePrAs
1.0
4.2662 0.0064 -0.0014
0.0065 4.2662 0.0014
0.0360 -0.0360 8.6734
Ce Pr As
2 2 2
direct
0.7353 0.7353 0.0000
0.2647 0.2647 0.0000
0.2502 0.7498 0.3614
0.7498 0.2502 0.6386
0.2489 0.7511 0.7267
0.7511 0.2489 0.2733
```


Record 5
Density functional theory data (PBE) for Ce5Pr3As8 after structural relaxation.

Summary:
**Total DFT energy (no corrections)**: -6.53 eV/atom
**Energy relative to the elements**: -1.46 eV/atom
**DOS at the Fermi energy**: 1.7488 states/eV per atom

```
Ce5Pr3As8
1.0
-7.7281 -0.3142 3.5271
-4.4627 -7.2329 -0.1785
-1.2260 -4.4157 7.1642
As Ce Pr
8 5 3
direct
0.2554 0.7500 0.2446
0.7500 0.2554 0.2446
0.2530 0.2530 0.2411
0.7500 0.7500 0.2446
0.2500 0.2500 0.7554
0.7470 0.7470 0.7589
0.7446 0.2500 0.7554
0.2500 0.7446 0.7554
0.0000 0.5000 0.0000
0.5000 0.0000 0.0000
0.5000 0.5000 0.5000
0.0000 0.0000 0.0000
0.5000 0.5000 0.0000
0.5000 0.0000 0.5000
0.0000 0.5000 0.5000
0.0000 0.0000 0.5000
```


Record 6
Density functional theory data (PBE) for Ce3Pr5As8 after structural relaxation.

Summary:
**Total DFT energy (no corrections)**: -6.41 eV/atom
**Energy relative to the elements**: -1.48 eV/atom
**DOS at the Fermi energy**: 1.1021 states/eV per atom

```
Ce3Pr5As8
1.0
-3.1875 -1.5242 7.7810
4.0095 3.0028 6.9234
-3.4692 6.3715 4.5196
As Pr Ce
8 5 3
direct
0.2500 0.7561 0.7439
0.7500 0.7500 0.2561
0.2500 0.2500 0.7439
0.7500 0.2439 0.2561
0.2474 0.2474 0.2579
0.2439 0.7500 0.2561
0.7561 0.2500 0.7439
0.7526 0.7526 0.7421
0.5000 0.5000 0.5000
0.0000 0.0000 0.0000
0.5000 0.5000 0.0000
0.0000 0.5000 0.0000
0.5000 0.0000 0.0000
0.0000 0.0000 0.5000
0.0000 0.5000 0.5000
0.5000 0.0000 0.5000
```


Record 7
Density functional theory data (PBE) for Ce2PrAs after structural relaxation.

Summary:
**Total DFT energy (no corrections)**: -5.82 eV/atom
**Polymorph energy (0 for the lowest one)**: 0 meV per atom
**Energy relative to the elements**: -0.50 eV/atom
**DOS at the Fermi energy**: 2.5556 states/eV per atom

```
Ce2PrAs
1.0
3.9116 -0.0003 -0.0004
1.9555 3.3877 -0.0004
1.9549 1.1286 9.4673
Ce Pr As
2 1 1
direct
0.2691 0.2691 0.1929
0.0642 0.0642 0.8075
0.5002 0.5002 0.4995
0.6666 0.6666 0.0001
```


Record 8
Density functional theory data (PBE) for CePrAs2 after structural relaxation.

Summary:
**Total DFT energy (no corrections)**: -6.47 eV/atom
**Polymorph energy (0 for the lowest one)**: 0 meV per atom
**Energy relative to the elements**: -1.47 eV/atom
**DOS at the Fermi energy**: 1.3424 states/eV per atom

```
CePrAs2
1.0
-1.9402 1.9382 3.2605
1.3720 -4.0121 0.4175
6.9859 2.3844 -0.0442
As Ce Pr
2 1 1
direct
0.4944 0.7472 0.2415
0.5056 0.2528 0.7585
0.0000 0.0000 0.0000
0.0000 0.5000 0.5000
```


Record 9
Density functional theory data (PBE) for Ce2PrAs3 after structural relaxation.

Summary:
**Total DFT energy (no corrections)**: -6.55 eV/atom
**Energy relative to the elements**: -1.45 eV/atom
**DOS at the Fermi energy**: 1.7939 states/eV per atom

```
Ce2PrAs3
1.0
-1.0445 -1.5822 -3.8013
5.7682 0.2149 -1.6743
-1.4966 -5.2272 4.9602
Pr Ce As
1 2 3
direct
0.5000 0.5000 0.5000
0.8340 0.8340 0.1681
0.1660 0.1660 0.8319
0.5000 0.0000 0.5000
0.8288 0.3288 0.1577
0.1712 0.6712 0.8423
```


Record 10
Density functional theory data (PBE) for CePrAs2 after structural relaxation.

Summary:
**Total DFT energy (no corrections)**: -6.43 eV/atom
**Polymorph energy (0 for the lowest one)**: 38 meV per atom
**Energy relative to the elements**: -1.43 eV/atom
**DOS at the Fermi energy**: 1.3193 states/eV per atom

```
CePrAs2
1.0
-2.6137 2.3278 2.3984
2.6569 -2.7611 1.8221
9.7485 9.9918 0.9262
Ce As Pr
2 4 2
direct
0.0000 0.0000 0.5000
0.0000 0.0000 0.0000
0.3333 0.6667 0.1189
0.6667 0.3333 0.8811
0.6667 0.3333 0.6189
0.3333 0.6667 0.3811
0.6667 0.3333 0.2500
0.3333 0.6667 0.7500
```


Record 11
Density functional theory data (PBE) for CePrAs after structural relaxation.

Summary:
**Total DFT energy (no corrections)**: -5.85 eV/atom
**Energy relative to the elements**: -0.73 eV/atom
**DOS at the Fermi energy**: 2.8479 states/eV per atom

```
CePrAs
1.0
5.0075 0.0000 0.0000
2.5037 4.3366 0.0000
2.5037 1.4455 4.0886
As Ce Pr
1 1 1
direct
0.2500 0.2500 0.2500
0.5000 0.5000 0.5000
0.0000 0.0000 0.0000
```


Record 12
Density functional theory data (PBE) for CePrAs2 after structural relaxation.

Summary:
**Total DFT energy (no corrections)**: -6.30 eV/atom
**Polymorph energy (0 for the lowest one)**: 172 meV per atom
**Energy relative to the elements**: -1.30 eV/atom
**DOS at the Fermi energy**: 1.7502 states/eV per atom

```
CePrAs2
1.0
4.1903 0.0000 0.0000
2.0951 3.6289 0.0000
2.0951 1.2096 7.3676
Ce As Pr
1 2 1
direct
0.4977 0.4977 0.5070
0.0837 0.0837 0.7488
0.2490 0.2490 0.2531
0.6696 0.6696 0.9911
```


Record 13
Density functional theory data (PBE) for Ce5PrAs6 after structural relaxation.

Summary:
**Total DFT energy (no corrections)**: -6.63 eV/atom
**Energy relative to the elements**: -1.44 eV/atom
**DOS at the Fermi energy**: 2.1128 states/eV per atom

```
Ce5PrAs6
1.0
7.3305 0.1994 0.0000
2.2551 6.9778 0.0000
1.1276 3.4889 6.3509
Ce As Pr
5 6 1
direct
0.0000 0.6669 0.6661
0.5000 0.8343 0.3315
0.0000 0.3331 0.3339
0.5000 0.5000 0.0000
0.5000 0.1657 0.6685
0.2523 0.2537 0.0000
0.2527 0.9157 0.6623
0.7473 0.0843 0.3377
0.7477 0.7463 0.0000
0.2527 0.5780 0.3377
0.7473 0.4220 0.6623
0.0000 0.0000 0.0000
```


Record 14
Density functional theory data (PBE) for Ce4PrAs5 after structural relaxation.

Summary:
**Total DFT energy (no corrections)**: -6.62 eV/atom
**Energy relative to the elements**: -1.44 eV/atom
**DOS at the Fermi energy**: 2.0926 states/eV per atom

```
Ce4PrAs5
1.0
4.1598 0.0000 -0.8025
-0.3089 5.7680 -1.6011
0.0058 -0.0018 11.2124
Ce As Pr
4 5 1
direct
0.2004 0.2004 0.4009
0.5998 0.5998 0.1996
0.4002 0.4002 0.8004
0.7996 0.7996 0.5991
0.3972 0.8972 0.7944
0.6028 0.1028 0.2056
0.1996 0.6996 0.3992
0.0000 0.5000 0.0000
0.8004 0.3004 0.6008
0.0000 0.0000 0.0000
```


Record 15
Density functional theory data (PBE) for CePrAs after structural relaxation.

Summary:
**Total DFT energy (no corrections)**: -5.85 eV/atom
**Energy relative to the elements**: -0.72 eV/atom
**DOS at the Fermi energy**: 1.3482 states/eV per atom

```
CePrAs
1.0
-3.4967 1.6897 0.7427
-1.9559 -2.8685 -2.6819
-3.9440 -3.3017 9.9937
Pr As Ce
2 2 2
direct
0.1312 0.8093 0.6186
0.8688 0.1907 0.3814
0.5695 0.3402 0.6804
0.4305 0.6598 0.3196
0.8432 0.4533 0.9068
0.1568 0.5467 0.0932
```


Record 16
Density functional theory data (PBE) for CePrAs after structural relaxation.

Summary:
**Total DFT energy (no corrections)**: -5.79 eV/atom
**Energy relative to the elements**: -0.67 eV/atom
**DOS at the Fermi energy**: 2.2658 states/eV per atom

```
CePrAs
1.0
3.9159 0.0000 0.0000
0.0000 3.9159 0.0000
-1.9580 -1.9580 5.2692
As Ce Pr
1 1 1
direct
0.6174 0.6174 0.2349
0.2579 0.2579 0.5159
0.9746 0.9746 0.9492
```


Record 17
Density functional theory data (PBE) for CePr5As6 after structural relaxation.

Summary:
**Total DFT energy (no corrections)**: -6.31 eV/atom
**Energy relative to the elements**: -1.50 eV/atom
**DOS at the Fermi energy**: 0.4961 states/eV per atom

```
CePr5As6
1.0
7.3475 0.1778 1.1155
1.8040 6.2280 3.6307
0.1233 0.0662 7.4303
Pr As Ce
5 6 1
direct
0.5000 0.5000 0.0000
0.0000 0.3337 0.3326
0.5000 0.1677 0.6645
0.5000 0.8323 0.3355
0.0000 0.6663 0.6674
0.7534 0.0821 0.3275
0.2465 0.2450 0.0000
0.2466 0.9179 0.6725
0.7534 0.4095 0.6725
0.7535 0.7550 0.0000
0.2466 0.5905 0.3275
0.0000 0.0000 0.0000
```


Record 18
Density functional theory data (PBE) for CePr3Pu2As6 after structural relaxation.

Summary:
**Total DFT energy (no corrections)**: -7.73 eV/atom
**Energy relative to the elements**: -1.33 eV/atom
**DOS at the Fermi energy**: 2.3254 states/eV per atom

```
CePr3Pu2As6
1.0
7.3378 -0.0006 0.0003
-3.6677 6.3555 0.0003
-1.2240 -2.1194 6.9191
Ce As Pr Pu
1 6 3 2
direct
0.0000 0.0000 0.0000
0.5852 0.9207 0.7621
0.0793 0.4148 0.2379
0.2564 0.2564 0.7623
0.9207 0.5852 0.7621
0.4148 0.0793 0.2379
0.7436 0.7436 0.2377
0.5000 0.5000 0.5000
0.8338 0.1662 0.5000
0.1662 0.8338 0.5000
0.6667 0.3333 0.0000
0.3333 0.6667 0.0000
```


Record 19
Density functional theory data (PBE) for CePrPu2As4 after structural relaxation.

Summary:
**Total DFT energy (no corrections)**: -8.49 eV/atom
**Energy relative to the elements**: -1.24 eV/atom
**DOS at the Fermi energy**: 3.0503 states/eV per atom

```
CePrPu2As4
1.0
-0.2612 2.0600 3.6633
-7.2403 -0.3186 -0.3371
-2.3326 -6.0948 3.2611
Pu As Ce Pr
2 4 1 1
direct
0.5000 0.0000 0.5000
0.0000 0.0000 0.0000
0.5000 0.2427 0.7485
0.5000 0.7573 0.2515
0.0000 0.7610 0.7422
0.0000 0.2390 0.2578
0.0000 0.5000 0.5000
0.5000 0.5000 0.0000
```


Record 20
Density functional theory data (PBE) for Ce2Pr3PuAs6 after structural relaxation.

Summary:
**Total DFT energy (no corrections)**: -7.10 eV/atom
**Energy relative to the elements**: -1.40 eV/atom
**DOS at the Fermi energy**: 1.9318 states/eV per atom

```
Ce2Pr3PuAs6
1.0
4.2506 0.0000 0.0000
0.0000 8.4912 0.2968
-2.1253 -2.4512 8.9354
Pu Pr As Ce
1 3 6 2
direct
0.5000 0.0000 0.0000
0.5000 0.5000 0.0000
0.8334 0.1661 0.6668
0.1666 0.8339 0.3332
0.3358 0.9119 0.6715
0.3311 0.4218 0.6622
0.6642 0.0881 0.3285
0.0018 0.2423 0.0036
0.6689 0.5782 0.3378
0.9982 0.7577 0.9964
0.1658 0.3318 0.3317
0.8342 0.6682 0.6683
```


Record 21
Density functional theory data (PBE) for CePr2PuAs4 after structural relaxation.

Summary:
**Total DFT energy (no corrections)**: -7.41 eV/atom
**Energy relative to the elements**: -1.36 eV/atom
**DOS at the Fermi energy**: 2.1523 states/eV per atom

```
CePr2PuAs4
1.0
-3.0068 -1.5630 2.5529
-4.2955 -1.2480 -5.8232
4.1721 -5.9203 1.2891
Pr As Pu Ce
2 4 1 1
direct
0.0000 0.5000 0.5000
0.5000 0.0000 0.5000
0.0000 0.7474 0.2399
0.5000 0.7557 0.7619
0.5000 0.2443 0.2381
0.0000 0.2526 0.7601
0.0000 0.0000 0.0000
0.5000 0.5000 0.0000
```


Record 22
Density functional theory data (PBE) for Ce2PrPuAs4 after structural relaxation.

Summary:
**Total DFT energy (no corrections)**: -7.54 eV/atom
**Energy relative to the elements**: -1.34 eV/atom
**DOS at the Fermi energy**: 2.5086 states/eV per atom

```
Ce2PrPuAs4
1.0
4.2261 0.0000 0.0000
0.0000 7.3074 -0.1374
0.0000 2.5780 6.8471
As Pr Ce Pu
4 1 2 1
direct
0.0000 0.7553 0.7432
0.0000 0.2447 0.2568
0.5000 0.7503 0.2553
0.5000 0.2497 0.7447
0.5000 0.5000 0.0000
0.0000 0.0000 0.0000
0.5000 0.0000 0.5000
0.0000 0.5000 0.5000
```


Record 23
Density functional theory data (PBE) for CePr2As3Rh4 after structural relaxation.

Summary:
**Total DFT energy (no corrections)**: -6.83 eV/atom
**Energy relative to the elements**: -0.95 eV/atom
**DOS at the Fermi energy**: 0.7984 states/eV per atom

```
CePr2As3Rh4
1.0
4.2127 0.0000 0.0000
0.0000 4.2127 0.0000
0.0000 0.0000 11.2683
As Rh Pr Ce
3 4 2 1
direct
0.0000 0.0000 0.5000
0.5000 0.0000 0.8699
0.0000 0.5000 0.1301
0.5000 0.5000 0.0000
0.0000 0.0000 0.0000
0.5000 0.0000 0.6504
0.0000 0.5000 0.3496
0.0000 0.5000 0.7817
0.5000 0.0000 0.2183
0.5000 0.5000 0.5000
```


Record 24
Density functional theory data (PBE) for CePrAs2Rh2 after structural relaxation.

Summary:
**Total DFT energy (no corrections)**: -6.89 eV/atom
**Energy relative to the elements**: -1.11 eV/atom
**DOS at the Fermi energy**: 0.8827 states/eV per atom

```
CePrAs2Rh2
1.0
4.2757 0.0000 0.0000
-2.1379 3.7029 0.0000
0.0000 0.0000 7.9557
Ce Rh Pr As
1 2 1 2
direct
0.0000 0.0000 0.5000
0.6667 0.3333 0.2736
0.3333 0.6667 0.7264
0.0000 0.0000 0.0000
0.3333 0.6667 0.2445
0.6667 0.3333 0.7555
```